1.
Material: HfMn2O
Method: DFT, PBE+U
State: relaxed

Cell: 6.467 6.467 6.467 Å, 90.00 90.00 90.00°
Space group Fm-3m (No. 225)
Asymmetric unit:
Hf 0.000 0.000 0.000 x4
Mn 0.250 0.250 0.250 x8
O 0.000 0.000 0.500 x4

Calculated values
As for the density of states at the Fermi level: 12.2 states/eV per cell. The energy above the most stable polymorph in this dataset comes out at 3.25 eV per formula unit. As for the magnetization: 8.0 μB per formula unit.

2.
Material: HfMnOsO6
Method: DFT, PBE+U
State: relaxed

Cell: 5.2424 5.2424 9.2062 Å, 90.00 90.00 120.00°
Space group P-31c (No. 163)
Asymmetric unit:
Hf 0.3333 0.6667 0.2500 x2
Mn 0.0000 0.0000 0.0000 x2
Os 0.3333 0.6667 0.7500 x2
O 0.0193 0.3601 0.6327 x12

Calculated values
The final energy comes out at -8.40 eV per atom. As for the density of states at the Fermi level: 8.0 states/eV per cell. As for the magnetization: 3.0 μB per formula unit.

3.
Material: HfMnPO2
Method: DFT, PBE+U
State: relaxed

Cell: 3.766 3.766 4.868 Å, 90.00 90.00 90.00°
Space group P4/mmm (No. 123)
Asymmetric unit:
Hf 0.000 0.000 0.000 x1
Mn 0.500 0.500 0.500 x1
P 0.500 0.500 0.000 x1
O 0.000 0.500 0.500 x2

Calculated values
As for the density of states at the Fermi level: 1.6 states/eV per cell. The energy above the most stable polymorph in this dataset comes out at 3.02 eV per formula unit. As for the magnetization: 3.7 μB per formula unit.

4.
Material: HfMnPO2
Method: DFT, PBE+U
State: relaxed

Cell: 3.984 3.984 5.499 Å, 90.00 90.00 90.00°
Space group P4/mmm (No. 123)
Asymmetric unit:
Hf 0.000 0.000 0.000 x1
Mn 0.500 0.500 0.500 x1
P 0.000 0.000 0.500 x1
O 0.000 0.500 0.000 x2

Calculated values
As for the density of states at the Fermi level: 2.5 states/eV per cell. The energy above the most stable polymorph in this dataset comes out at 0.00 eV per formula unit. As for the magnetization: 4.3 μB per formula unit.

5.
Material: HfPaMnO6
Method: DFT, PBE+U
State: relaxed

Cell: 5.5981 5.5981 8.7997 Å, 90.00 90.00 120.00°
Space group P-31c (No. 163)
Asymmetric unit:
Hf 0.3333 0.6667 0.2500 x2
Pa 0.3333 0.6667 0.7500 x2
Mn 0.0000 0.0000 0.0000 x2
O 0.0120 0.3420 0.1297 x12

Calculated values
The final energy comes out at -9.06 eV per atom. As for the density of states at the Fermi level: 7.1 states/eV per cell. As for the magnetization: 4.0 μB per formula unit.

6.
Material: HfMnPb2O
Method: DFT, PBE+U
State: relaxed

Cell: 5.304 5.304 4.088 Å, 90.00 90.00 90.00°
Space group P4/mmm (No. 123)
Asymmetric unit:
Hf 0.000 0.000 0.000 x1
Mn 0.500 0.500 0.000 x1
Pb 0.000 0.500 0.500 x2
O 0.000 0.000 0.500 x1

Calculated values
The final energy comes out at -6.32 eV per atom. As for the density of states at the Fermi level: 3.9 states/eV per cell. As for the magnetization: 4.5 μB per formula unit.

7.
Material: HfMnPdO2
Method: DFT, PBE+U
State: relaxed

Cell: 4.071 4.071 4.733 Å, 90.00 90.00 90.00°
Space group P4/mmm (No. 123)
Asymmetric unit:
Hf 0.000 0.000 0.000 x1
Mn 0.500 0.500 0.000 x1
Pd 0.500 0.500 0.500 x1
O 0.000 0.500 0.500 x2

Calculated values
The final energy comes out at -6.20 eV per atom. As for the density of states at the Fermi level: 2.6 states/eV per cell. As for the magnetization: 3.6 μB per formula unit.

8.
Material: Pm2HfMnO6
Method: DFT, PBE+U
State: relaxed

Cell: 5.381 5.381 5.208 Å, 90.00 90.00 90.00°
Space group P4mm (No. 99)
Asymmetric unit:
Pm 0.000 0.500 0.000 x2
Hf 0.000 0.000 0.589 x1
Mn 0.500 0.500 0.566 x1
O 0.000 0.000 0.207 x1
O 0.245 0.245 0.740 x4
O 0.500 0.500 0.178 x1

Calculated values
The final energy comes out at -8.61 eV per atom. As for the density of states at the Fermi level: 0.0 states/eV per cell. As for the magnetization: 5.0 μB per formula unit.

9.
Material: PmHfMn2O8
Method: DFT, PBE+U
State: relaxed

Cell: 5.066 5.066 11.224 Å, 90.00 90.00 90.00°
Space group I-4 (No. 82)
Asymmetric unit:
Pm 0.000 0.000 0.000 x2
Hf 0.000 0.500 0.750 x2
Mn 0.000 0.000 0.500 x2
Mn 0.000 0.500 0.250 x2
O 0.142 0.252 0.582 x8
O 0.174 0.796 0.183 x8

Calculated values
The final energy comes out at -7.85 eV per atom. As for the density of states at the Fermi level: 7.2 states/eV per cell. As for the magnetization: 5.0 μB per formula unit.

10.
Material: PuHfMnO6
Method: DFT, PBE+U
State: relaxed

Cell: 5.5176 5.5176 9.1359 Å, 90.00 90.00 120.00°
Space group P-31c (No. 163)
Asymmetric unit:
Pu 0.3333 0.6667 0.2500 x2
Hf 0.3333 0.6667 0.7500 x2
Mn 0.0000 0.0000 0.0000 x2
O 0.0016 0.3490 0.1339 x12

Calculated values
The final energy comes out at -9.41 eV per atom. As for the density of states at the Fermi level: 12.4 states/eV per cell. As for the magnetization: 7.0 μB per formula unit.

11.
Material: RbHfMnO4
Method: DFT, PBE+U
State: relaxed

Cell: 5.823 5.800 7.192 Å, 90.00 103.18 90.00°
Space group P2_1/m (No. 11)
Asymmetric unit:
Rb 0.162 0.250 0.090 x2
Hf 0.141 0.750 0.471 x2
Mn 0.412 0.250 0.661 x2
O 0.143 0.021 0.662 x4
O 0.266 0.750 0.224 x2
O 0.492 0.250 0.430 x2

Calculated values
The final energy comes out at -7.75 eV per atom. As for the magnetization: 4.0 μB per formula unit.

12.
Material: Rb3HfMn2O6
Method: DFT, PBE+U
State: relaxed

Cell: 5.893 9.640 6.791 Å, 90.00 108.72 90.00°
Space group C2/m (No. 12)
Asymmetric unit:
Rb 0.000 0.000 0.000 x2
Rb 0.000 0.332 0.000 x4
Hf 0.000 0.500 0.500 x2
Mn 0.000 0.170 0.500 x4
O 0.200 0.335 0.678 x8
O 0.226 0.000 0.653 x4

Calculated values
The final energy comes out at -6.71 eV per atom. As for the density of states at the Fermi level: 4.9 states/eV per cell. As for the magnetization: 9.0 μB per formula unit.